{
  "formula": "GaFeCo5",
  "functional": "GGA-PBE",
  "state": "optimized geometry",
  "spacegroup": "C2/c (15)",
  "rho_g_cm3": 8.48,
  "dos_at_fermi_per_ev_fu": 9.06,
  "ef_mev_per_atom": 77.3,
  "cell": [[3.003, -3.410, 0.000], [3.003, 3.410, 0.000], [-2.836, 0.000, 8.039]],
  "species": ["Ga", "Ga", "Fe", "Fe", "Co", "Co", "Co", "Co", "Co", "Co", "Co", "Co", "Co", "Co"],
  "frac_coords": [[0.000, 0.500, 0.000], [0.500, 0.000, 0.500], [0.236, 0.764, 0.750], [0.764, 0.236, 0.250], [0.080, 0.277, 0.544], [0.111, 0.889, 0.250], [0.277, 0.080, 0.044], [0.345, 0.447, 0.351], [0.447, 0.345, 0.851], [0.553, 0.655, 0.149], [0.655, 0.553, 0.649], [0.723, 0.920, 0.956], [0.889, 0.111, 0.750], [0.920, 0.723, 0.456]]
}

{
  "formula": "Ta6AlMo",
  "functional": "GGA-PBE",
  "state": "optimized geometry",
  "spacegroup": "R-3 (148)",
  "rho_g_cm3": 14.18,
  "dos_at_fermi_per_ev_fu": 6.75,
  "ef_mev_per_atom": -93.7,
  "cell": [[3.684, 2.127, 3.012], [-3.684, 2.127, 3.012], [0.000, -4.254, 3.012]],
  "species": ["Ta", "Ta", "Ta", "Ta", "Ta", "Ta", "Al", "Mo"],
  "frac_coords": [[0.001, 0.253, 0.499], [0.253, 0.499, 0.001], [0.499, 0.001, 0.253], [0.501, 0.999, 0.747], [0.747, 0.501, 0.999], [0.999, 0.747, 0.501], [0.000, 0.000, 0.000], [0.500, 0.500, 0.500]]
}

no.,size of the total moment (μB per formula unit)
1,9.9
2,0.0